# 1
LaY2Rh: optimized geometry, GGA-PBE.

Output
Space group = Pmmm
Formation energy from the elements = -27 kJ/mol of formula units
Energy above the lowest structure with this stoichiometry = 426.2 meV per atom
Magnetic moment = 0.00 μB per cell

Geometry as extended XYZ:
```
4
Lattice="3.4683 0.0000 0.0000 0.0000 4.8051 0.0000 0.0000 0.0000 6.1948" Properties=species:S:1:pos:R:3 pbc="T T T"
La 1.7342 2.4026 1.5487
Rh 1.7342 2.4026 4.6461
Y 0.0000 0.0000 6.0552
Y 0.0000 0.0000 3.2370
```

# 2
CaMgPb2: optimized geometry, GGA-PBE.

Output
Space group = I-42d
Formation energy from the elements = -41 kJ/mol of formula units
Magnetic moment = 0.00 μB per cell

Geometry as extended XYZ:
```
8
Lattice="5.1325 0.0000 0.0000 0.0000 5.1325 0.0000 2.5663 2.5663 9.9801" Properties=species:S:1:pos:R:3 pbc="T T T"
Pb 3.5910 1.2831 2.4950
Pb 1.5415 3.8494 2.4950
Pb 3.8494 4.1077 7.4851
Pb 6.4156 6.1573 7.4851
Ca 0.0000 0.0000 0.0000
Ca 5.1325 2.5663 4.9901
Mg 2.5663 2.5663 0.0000
Mg 2.5663 5.1325 4.9901
```

# 3
Cs2KAs2: optimized geometry, GGA-PBE.

Output
Space group = C2/m
Formation energy from the elements = -166 kJ/mol of formula units
Energy above the lowest structure with this stoichiometry = 16.6 meV per atom
Magnetic moment = 0.00 μB per cell

Geometry as extended XYZ:
```
10
Lattice="5.7739 0.0000 1.4332 2.7923 5.6173 1.0979 -1.1851 1.8365 17.1184" Properties=species:S:1:pos:R:3 pbc="T T T"
Cs 5.2064 3.6896 3.7190
Cs 6.9709 4.9619 8.9570
Cs 2.1747 3.7642 15.9305
Cs 0.4102 2.4919 10.6926
K 5.8941 6.0865 13.2940
K 1.4870 1.3673 6.3555
As 2.9707 4.2399 12.7245
As 3.5417 4.7815 10.4243
As 4.4105 3.2139 6.9251
As 3.8394 2.6723 9.2252
```

# 4
CaMgInO2: optimized geometry, GGA-PBE.

Output
Space group = P4/mmm
Magnetic moment = 0.00 μB per cell
Formation energy (no corrections) = -384 meV/atom

Geometry as extended XYZ:
```
5
Lattice="-0.6709 -0.0676 4.3352 -1.5399 -5.0186 -0.3166 4.1410 -1.3098 0.6204" Properties=species:S:1:pos:R:3 pbc="T T T"
Ca 0.9651 -3.1980 2.3195
Mg -0.7700 -2.5093 -0.1583
O 2.0705 -0.6549 0.3102
O -0.3354 -0.0338 2.1676
In 0.0000 0.0000 0.0000
```

# 5
NaY2F8: optimized geometry, GGA-PBE.

Output
Space group = C2/m
Magnetic moment = 1.05 μB per cell
Formation energy (no corrections) = -3377 meV/atom

Geometry as extended XYZ:
```
11
Lattice="3.9565 0.0000 0.0000 -1.9783 6.7086 -1.3302 0.0000 -0.1691 6.9382" Properties=species:S:1:pos:R:3 pbc="T T T"
Y 1.9783 3.0716 4.5134
Y 0.0000 3.4680 1.0946
Na 1.9783 0.0000 0.0000
F 0.0000 5.5741 0.6292
F 1.9783 3.1371 0.0336
F 1.9783 3.9653 2.3928
F 1.9783 5.2507 4.9304
F 0.0000 2.5743 3.2152
F 0.0000 3.4025 5.5744
F 1.9783 0.9655 4.9788
F 0.0000 1.2888 0.6776
```

# 6
PrTm3Cd: optimized geometry, GGA-PBE.

Output
Space group = C2/m
Formation energy from the elements = -48 kJ/mol of formula units
Energy above the lowest structure with this stoichiometry = 0.0 meV per atom
Magnetic moment = 0.00 μB per cell

Geometry as extended XYZ:
```
10
Lattice="3.6633 0.0005 -0.0005 1.8317 6.4838 0.4928 -0.0030 -0.1744 12.4846" Properties=species:S:1:pos:R:3 pbc="T T T"
Pr 1.8305 3.2897 9.6521
Pr 3.6615 3.0202 3.3248
Tm 1.8295 4.5228 5.9806
Tm 1.8302 1.7350 0.4006
Tm 1.8318 6.0027 2.7936
Tm 3.6625 1.7871 6.9962
Tm 3.6602 0.3071 10.1832
Tm 3.6618 4.5749 12.5762
Cd 3.6610 5.7419 8.2714
Cd 1.8310 0.5680 4.7054
```

# 7
Nd8Y5Th: optimized geometry, GGA-PBE.

Output
Space group = C2
Formation energy from the elements = 259 kJ/mol of formula units
Magnetic moment = 0.00 μB per cell

Geometry as extended XYZ:
```
14
Lattice="1.5096 8.9484 1.6018 -3.2495 -3.1170 -7.6775 -6.8038 -4.9676 3.7352" Properties=species:S:1:pos:R:3 pbc="T T T"
Nd -2.4523 -1.3380 -5.0086
Nd -2.4369 5.8830 3.2192
Nd -3.6667 -2.8557 -2.0976
Nd -6.2398 -0.0370 1.4220
Nd -2.9327 1.3736 -3.1286
Nd -8.6415 -3.1131 -3.0046
Nd -3.3003 0.1030 -0.1456
Nd -4.4158 3.3729 -0.7078
Y -5.7756 3.1647 3.2730
Y -2.5578 4.6402 -4.1399
Y -6.3479 0.3910 -2.0049
Y -2.6514 1.9937 2.6728
Y -0.6337 2.2826 -0.4724
Th -6.6972 -2.7862 -0.2873
```

# 8
SbAsCl2O: optimized geometry, GGA-PBE.

Output
Space group = P4/mmm
Magnetic moment = 0.00 μB per cell
Formation energy (no corrections) = 469 meV/atom

Geometry as extended XYZ:
```
5
Lattice="4.6219 0.0000 0.0000 0.0000 5.9713 0.0000 0.0000 0.0000 4.6219" Properties=species:S:1:pos:R:3 pbc="T T T"
Sb 0.0000 2.9856 0.0000
As 0.0000 0.0000 0.0000
O 2.3110 2.9856 2.3110
Cl 0.0000 0.0000 2.3110
Cl 2.3110 0.0000 0.0000
```